# 1
Below is a PBEsol-optimized structure of K2Li3CoO4, with properties calculated at the SCAN level.

Output
total moment: 16.000 μB per cell
formation energy (no corrections): -1733 meV/atom
VASP energy: -83.4 eV/f.u.
space-group type: No. 14

Cell lengths 5.493, 8.662, 10.245 Å; angles 90.00, 98.44, 90.00 degrees
Last column: magnetic moment on the atom in μB.
Atoms (fractional coordinates):
Li 0.298 0.496 0.932  0.00
Li 0.798 0.004 0.432  0.00
Li 0.105 0.472 0.201  0.00
Li 0.425 0.264 0.801  0.00
Li 0.575 0.736 0.199  0.00
Li 0.395 0.972 0.299  0.00
Li 0.925 0.236 0.301  0.00
Li 0.702 0.504 0.068  0.00
Li 0.075 0.764 0.699  0.00
Li 0.202 0.996 0.568  0.00
Li 0.895 0.528 0.799  0.00
Li 0.605 0.028 0.701  0.00
O 0.836 0.605 0.614  0.24
O 0.883 0.949 0.623  0.21
O 0.612 0.809 0.380  0.21
O 0.383 0.551 0.123  0.21
O 0.117 0.051 0.377  0.21
O 0.392 0.826 0.646  0.24
O 0.617 0.449 0.877  0.21
O 0.608 0.174 0.354  0.24
O 0.336 0.895 0.114  0.24
O 0.108 0.326 0.854  0.24
O 0.892 0.674 0.146  0.24
O 0.388 0.191 0.620  0.21
O 0.888 0.309 0.120  0.21
O 0.112 0.691 0.880  0.21
O 0.664 0.105 0.886  0.24
O 0.164 0.395 0.386  0.24
Co 0.338 0.216 0.437  2.85
Co 0.662 0.784 0.563  2.85
Co 0.838 0.284 0.937  2.85
Co 0.162 0.716 0.063  2.85
K 0.887 0.272 0.607  0.00
K 0.346 0.508 0.638  0.00
K 0.113 0.728 0.393  0.00
K 0.154 0.008 0.862  0.00
K 0.654 0.492 0.362  0.00
K 0.613 0.772 0.893  0.00
K 0.846 0.992 0.138  0.00
K 0.387 0.228 0.107  0.00

# 2
Below is a PBEsol-optimized structure of KMg2Co, with properties calculated at the SCAN level.

Output
total moment: 4.242 μB per cell
energy relative to the elements: 0.618 eV/atom
polymorph energy (0 for the lowest one): 0.000 eV/atom
VASP energy: -33.1 eV/f.u.
space-group type: No. 141

Cell lengths 5.817, 5.817, 9.080 Å; angles 108.68, 108.68, 90.00 degrees
Last column: magnetic moment on the atom in μB.
Atoms (fractional coordinates):
Co 0.000 0.000 0.000  1.88
Co 0.250 0.750 0.500  1.88
Mg 0.625 0.875 0.750  0.00
Mg 0.125 0.375 0.250  0.00
Mg 0.125 0.875 0.750  0.00
Mg 0.125 0.875 0.250  0.00
K 0.500 0.500 0.000  0.00
K 0.750 0.250 0.500  0.00